{
  "formula": "FeNi2TeO6",
  "functional": "GGA+U",
  "state": "optimized geometry",
  "cell": [[5.1744, 0.0005, 0.0044], [2.5917, 4.4926, 0.0086], [2.5844, 1.4944, 4.6643]],
  "species": ["O", "O", "O", "O", "O", "O", "Ni", "Ni", "Fe", "Te"],
  "fractional_positions": [[0.1159, 0.4139, 0.7644], [0.4146, 0.7046, 0.7639], [0.7044, 0.1184, 0.7631], [0.9410, 0.5915, 0.2467], [0.5920, 0.2206, 0.2471], [0.2207, 0.9406, 0.2470], [0.5219, 0.5212, 0.4348], [0.0166, 0.0156, 0.9516], [0.8137, 0.8143, 0.5593], [0.3209, 0.3209, 0.0372]],
  "total_magnetization_mub_per_cell": 4.00,
  "final_energy_ev_per_atom": -5.3486
}